VASP calculation (GGA-PBE) on a relaxed YHo2Se4 crystal.

```
7
Lattice="7.5488 -2.0427 0.0000 7.5488 2.0427 0.0000 -3.1799 0.0000 6.3544" Properties=species:S:1:pos:R:3 pbc="T T T"
Y 0.0000 0.0000 0.0000
Ho 3.1263 0.0000 1.7497
Ho 8.7913 0.0000 4.6047
Se 0.4526 0.0000 2.8333
Se 5.4677 0.0000 0.0677
Se 6.4500 0.0000 6.2867
Se 11.4650 0.0000 3.5211
```

Values from the calculation:
D(E_F) = 2.85 states/eV per cell
Formation energy without anion corrections = -1.830 eV per atom
Crystal system = monoclinic
Magnetic moment = 0.00 μB per formula unit
Density = 6.2 g/cm³
Space group = C2/m


VASP calculation (GGA-PBE) on a relaxed La6PrSn crystal.

```
8
Lattice="5.1022 0.0000 0.0000 0.0000 5.1022 0.0000 0.0000 0.0000 10.5189" Properties=species:S:1:pos:R:3 pbc="T T T"
La 0.0000 0.0000 0.0000
La 0.0000 0.0000 5.2594
La 0.0000 2.5511 2.5150
La 0.0000 2.5511 8.0039
La 2.5511 0.0000 2.5150
La 2.5511 0.0000 8.0039
Pr 2.5511 2.5511 5.2594
Sn 2.5511 2.5511 0.0000
```

Values from the calculation:
D(E_F) = 9.74 states/eV per cell
ΔE_f = -1.7 eV/f.u.
Crystal system = tetragonal
Magnetic moment = 0.00 μB per formula unit
Density = 6.6 g/cm³
Space group = P4/mmm


VASP calculation (GGA-PBE) on a relaxed Ta2AsOs crystal.

```
4
Lattice="2.9985 0.0000 0.0000 0.0000 2.9985 0.0000 0.0000 0.0000 7.4087" Properties=species:S:1:pos:R:3 pbc="T T T"
Ta 0.0000 0.0000 1.7561
Ta 0.0000 0.0000 5.6526
As 1.4992 1.4992 3.7044
Os 1.4992 1.4992 0.0000
```

Values from the calculation:
D(E_F) = 1.89 states/eV per cell
ΔE_f = -0.6 eV/f.u.
Crystal system = tetragonal
Magnetic moment = 0.00 μB per formula unit
Density = 15.6 g/cm³
Space group = P4/mmm


VASP calculation (GGA-PBE) on a relaxed LiAcLa2Te5 crystal.

```
18
Lattice="2.2845 -9.5863 0.0000 2.2845 9.5863 0.0000 0.0000 0.0000 13.8306" Properties=species:S:1:pos:R:3 pbc="T T T"
Li 2.2845 9.4271 6.9153
Li 2.2845 -9.4271 0.0000
Ac 2.2845 3.6802 0.1623
Ac 2.2845 -3.6802 7.0776
La 2.2845 2.2750 4.3238
La 2.2845 2.1575 9.6363
La 2.2845 -2.1575 2.7210
La 2.2845 -2.2750 11.2391
Te 2.2845 9.4903 4.1806
Te 2.2845 6.9580 0.1633
Te 2.2845 5.8571 4.7128
Te 2.2845 5.6444 9.4313
Te 2.2845 0.7246 1.2980
Te 2.2845 -0.7246 8.2133
Te 2.2845 -5.6444 2.5161
Te 2.2845 -5.8571 11.6281
Te 2.2845 -6.9580 7.0786
Te 2.2845 -9.4903 11.0959
```

Values from the calculation:
Formation energy without anion corrections = -1.432 eV per atom
Crystal system = orthorhombic
Magnetic moment = 0.00 μB per formula unit
Density = 6.3 g/cm³
Space group = Cmc2_1


VASP calculation (GGA-PBE) on a relaxed Ba3ZrAs3 crystal.

```
28
Lattice="10.0625 -3.6425 0.0000 10.0625 3.6425 0.0000 0.0000 0.0000 13.5245" Properties=species:S:1:pos:R:3 pbc="T T T"
Ba 3.5481 1.2329 11.7034
Ba 6.5145 1.2329 8.5834
Ba 10.0625 2.5139 11.3664
Ba 10.0625 1.1286 4.6041
Ba 3.5481 -1.2329 1.8211
Ba 6.5145 -1.2329 4.9411
Ba 13.6106 1.2329 8.5834
Ba 16.5770 1.2329 11.7034
Ba 10.0625 -1.1286 8.9204
Ba 10.0625 -2.5139 2.1582
Ba 13.6106 -1.2329 4.9411
Ba 16.5770 -1.2329 1.8211
Zr 1.7168 0.0000 6.7623
Zr 8.3457 0.0000 0.0000
Zr 11.7794 0.0000 0.0000
Zr 18.4083 0.0000 6.7623
As 6.8734 2.1658 5.1474
As 6.8734 1.4767 11.9096
As 10.0625 2.0544 8.0774
As 10.0625 1.5882 1.3151
As 13.2517 2.1658 5.1474
As 13.2517 1.4767 11.9096
As 6.8734 -1.4767 1.6149
As 6.8734 -2.1658 8.3772
As 10.0625 -1.5882 12.2094
As 10.0625 -2.0544 5.4471
As 13.2517 -1.4767 1.6149
As 13.2517 -2.1658 8.3772
```

Values from the calculation:
D(E_F) = 10.62 states/eV per cell
ΔE_f = -7.4 eV/f.u.
Crystal system = orthorhombic
Magnetic moment = 0.00 μB per formula unit
Density = 4.9 g/cm³
Space group = Cmce


VASP calculation (GGA-PBE) on a relaxed NdMgIrPd crystal.

```
4
Lattice="0.0000 3.4054 3.4054 3.4054 0.0000 3.4054 3.4054 3.4054 0.0000" Properties=species:S:1:pos:R:3 pbc="T T T"
Nd 0.0000 0.0000 0.0000
Mg 3.4054 3.4054 3.4054
Ir 1.7027 1.7027 1.7027
Pd 5.1082 5.1082 5.1082
```

Values from the calculation:
D(E_F) = 1.50 states/eV per cell
ΔE_f = -2.2 eV/f.u.
Crystal system = cubic
Magnetic moment = 0.00 μB per formula unit
Density = 9.8 g/cm³
Space group = F-43m


VASP calculation (GGA-PBE) on a relaxed KLiTlI3 crystal.

```
12
Lattice="10.4863 0.0000 0.0000 0.0000 4.7631 0.0000 -1.5870 0.0000 10.6390" Properties=species:S:1:pos:R:3 pbc="T T T"
K 1.3944 1.1908 2.1020
K 7.5048 3.5723 8.5370
Li -0.0459 1.1908 6.3436
Li 8.9451 3.5723 4.2954
Tl 2.3963 3.5723 8.9375
Tl 6.5029 1.1908 1.7015
I -0.3064 1.1908 9.0580
I 1.0663 3.5723 5.3073
I 3.9640 3.5723 1.6782
I 4.9353 1.1908 8.9608
I 7.8330 1.1908 5.3317
I 9.2056 3.5723 1.5810
```

Values from the calculation:
D(E_F) = 0.00 states/eV per cell
Formation energy without anion corrections = -1.102 eV per atom
Crystal system = monoclinic
Magnetic moment = 0.00 μB per formula unit
Density = 3.9 g/cm³
Space group = P2_1/m


VASP calculation (GGA-PBE) on a relaxed Mn2RhW crystal.

```
4
Lattice="0.0000 3.0218 3.0218 3.0218 0.0000 3.0218 3.0218 3.0218 0.0000" Properties=species:S:1:pos:R:3 pbc="T T T"
Mn 0.0000 0.0000 0.0000
Mn 1.5109 1.5109 1.5109
Rh 3.0218 3.0218 3.0218
W 4.5327 4.5327 4.5327
```

Values from the calculation:
D(E_F) = 1.99 states/eV per cell
E above lowest polymorph = 0.32 eV/f.u.
ΔE_f = 0.3 eV/f.u.
Crystal system = cubic
Magnetic moment = 4.78 μB per formula unit
Density = 11.9 g/cm³
Space group = F-43m